Entry 1:
Below is crystalline AcUOs at its relaxed geometry, with properties calculated at the PBE-GGA level.

Structure (POSCAR):
```
AcUOs
1.0
-1.627 1.224 4.504
-3.347 3.599 0.525
-4.627 -1.105 1.341
Ac Os U
1 1 1
direct
0.250 0.250 0.250
0.000 0.000 0.000
0.750 0.750 0.750
```

Properties
Excess energy over the best structure of this formula in the dataset (eV per atom): 0.000
E (eV/atom): -8.3938
Space-group type: No. 216

---

Entry 2:
Below is crystalline Dy2TmFe7Co2 at its relaxed geometry, with properties calculated at the PBE-GGA level.

Structure (POSCAR):
```
Dy2TmFe7Co2
1.0
2.511 1.450 8.119
-2.511 1.450 8.119
0.000 -2.899 8.119
Dy Fe Co Tm
2 7 2 1
direct
0.858 0.858 0.858
0.142 0.142 0.142
0.419 0.918 0.419
0.082 0.581 0.581
0.918 0.419 0.419
0.581 0.581 0.082
0.500 0.500 0.500
0.419 0.419 0.918
0.581 0.082 0.581
0.668 0.668 0.668
0.332 0.332 0.332
0.000 0.000 0.000
```

Properties
E (eV/atom): -7.2724
Space-group type: No. 166

---

Entry 3:
Below is crystalline TbPb at its relaxed geometry, with properties calculated at the PBE-GGA level.

Structure (POSCAR):
```
TbPb
1.0
0.000 3.505 3.505
3.505 0.000 3.505
3.505 3.505 0.000
Tb Pb
1 1
direct
0.250 0.250 0.250
0.000 0.000 0.000
```

Properties
E (eV/atom): -3.7732
Space-group type: No. 216

---

Entry 4:
Below is crystalline Ta2W at its relaxed geometry, with properties calculated at the PBE-GGA level.

Structure (POSCAR):
```
Ta2W
1.0
-5.733 1.582 8.093
2.200 -9.206 3.358
4.201 1.951 2.595
Ta W
20 10
direct
0.604 0.604 0.000
0.396 0.396 0.000
0.816 0.816 0.251
0.184 0.184 0.749
0.966 0.371 0.500
0.466 0.129 0.000
0.629 0.034 0.500
0.371 0.966 0.500
0.129 0.466 0.000
0.684 0.316 0.751
0.896 0.104 0.500
0.684 0.316 0.249
0.534 0.871 0.000
0.871 0.534 0.000
0.316 0.684 0.249
0.816 0.816 0.749
0.316 0.684 0.751
0.104 0.896 0.500
0.034 0.629 0.500
0.184 0.184 0.251
0.500 0.500 0.500
0.065 0.744 0.000
0.256 0.935 0.000
0.744 0.065 0.000
0.000 0.000 0.000
0.756 0.565 0.500
0.565 0.756 0.500
0.435 0.244 0.500
0.244 0.435 0.500
0.935 0.256 0.000
```

Properties
Excess energy over the best structure of this formula in the dataset (eV per atom): 0.000
E (eV/atom): -12.2573
Space-group type: No. 136

---

Which value of E does entry 4 give?
-12.2573 eV/atom

---

Which of these has the lowest E?
Ta2W

---

Repeat the second record exactly.
Below is crystalline Dy2TmFe7Co2 at its relaxed geometry, with properties calculated at the PBE-GGA level.

Structure (POSCAR):
```
Dy2TmFe7Co2
1.0
2.511 1.450 8.119
-2.511 1.450 8.119
0.000 -2.899 8.119
Dy Fe Co Tm
2 7 2 1
direct
0.858 0.858 0.858
0.142 0.142 0.142
0.419 0.918 0.419
0.082 0.581 0.581
0.918 0.419 0.419
0.581 0.581 0.082
0.500 0.500 0.500
0.419 0.419 0.918
0.581 0.082 0.581
0.668 0.668 0.668
0.332 0.332 0.332
0.000 0.000 0.000
```

Properties
E (eV/atom): -7.2724
Space-group type: No. 166